## SrAg2Br (PBE)

Data for SrAg2Br after structural relaxation.

a = 4.012 Å, b = 4.006 Å, c = 7.331 Å
α = 90.00°, β = 92.90°, γ = 90.00°
Space group Pm (No. 6)
Inequivalent atoms, fractional coordinates:
Sr 0.000 0.000 0.000 [1 per cell]
Ag 0.036 0.500 0.351 [1 per cell]
Ag 0.535 0.000 0.350 [1 per cell]
Br 0.483 0.500 0.813 [1 per cell]

Calculated values
formation energy without anion corrections = -61.98 kJ/mol of atoms
E_tot = -0.1068 hartree per atom
total magnetic moment = 0.000 μB per formula unit
relative energy among the computed polymorphs = 0 meV per atom

## LiCa2MgAg2 (PBE)

Data for LiCa2MgAg2 after structural relaxation.

a = 6.139 Å, b = 15.872 Å, c = 6.145 Å
α = 90.00°, β = 90.00°, γ = 90.00°
Space group Ibam (No. 72)
Inequivalent atoms, fractional coordinates:
Li 0.000 0.000 0.250 [4 per cell]
Ca 0.245 0.176 0.000 [8 per cell]
Mg 0.000 0.500 0.250 [4 per cell]
Ag 0.247 0.382 0.000 [8 per cell]

Calculated values
E_tot = -0.0902 hartree per atom
E_form = -1.5 eV per formula unit
total magnetic moment = 0.000 μB per formula unit

## KAl2Rh (PBE)

Data for KAl2Rh after structural relaxation.

a = 7.615 Å, b = 4.396 Å, c = 6.802 Å
α = 90.00°, β = 112.04°, γ = 90.00°
Space group Cm (No. 8)
Inequivalent atoms, fractional coordinates:
K 0.000 0.000 0.000 [2 per cell]
Al 0.179 0.000 0.535 [2 per cell]
Al 0.484 0.000 0.453 [2 per cell]
Rh 0.326 0.500 0.478 [2 per cell]

Calculated values
E_tot = -0.1584 hartree per atom
E_form = -1.3 eV per formula unit
total magnetic moment = 0.000 μB per formula unit
relative energy among the computed polymorphs = 11 meV per atom